## LaMg2Os (GGA-PBE)

Data for a geometry-optimized LaMg2Os structure.

CIF file:
```
data_LaMg2Os
_chemical_formula_sum 'La2 Mg4 Os2'
_cell_length_a 4.362
_cell_length_b 4.362
_cell_length_c 8.838
_cell_angle_alpha 90.00
_cell_angle_beta 90.00
_cell_angle_gamma 90.00
_space_group_name_H-M_alt 'I 4/m m m'
_space_group_IT_number 139
_space_group_name_Hall '-I 4 2'
loop_
_atom_site_label
_atom_site_type_symbol
_atom_site_fract_x
_atom_site_fract_y
_atom_site_fract_z
La1 La 0.000 0.000 0.000
Mg1 Mg 0.000 0.500 0.250
Os1 Os 0.000 0.000 0.500
```

Properties
- Calculated volume: 21.0 Å³ per atom
- ΔE_f: 0.11 eV/atom

## HfSb3I (GGA-PBE)

Data for a geometry-optimized HfSb3I structure.

CIF file:
```
data_HfSb3I
_chemical_formula_sum 'Hf1 Sb3 I1'
_cell_length_a 5.585
_cell_length_b 5.585
_cell_length_c 5.585
_cell_angle_alpha 90.00
_cell_angle_beta 90.00
_cell_angle_gamma 90.00
_space_group_name_H-M_alt 'P m -3 m'
_space_group_IT_number 221
_space_group_name_Hall '-P 4 2 3'
loop_
_atom_site_label
_atom_site_type_symbol
_atom_site_fract_x
_atom_site_fract_y
_atom_site_fract_z
Hf1 Hf 0.000 0.000 0.000
Sb1 Sb 0.000 0.500 0.500
I1 I 0.500 0.500 0.500
```

Properties
- Calculated volume: 34.8 Å³ per atom
- ΔE to the lowest computed polymorph: 1.215 eV/atom

## LaTl2Ni (GGA-PBE)

Data for a geometry-optimized LaTl2Ni structure.

CIF file:
```
data_LaTl2Ni
_chemical_formula_sum 'La2 Tl4 Ni2'
_cell_length_a 5.332
_cell_length_b 8.485
_cell_length_c 4.553
_cell_angle_alpha 90.00
_cell_angle_beta 90.00
_cell_angle_gamma 90.00
_space_group_name_H-M_alt 'C m m m'
_space_group_IT_number 65
_space_group_name_Hall '-C 2 2'
loop_
_atom_site_label
_atom_site_type_symbol
_atom_site_fract_x
_atom_site_fract_y
_atom_site_fract_z
La1 La 0.000 0.000 0.000
Tl1 Tl 0.000 0.325 0.500
Ni1 Ni 0.000 0.500 0.000
```

Properties
- Calculated volume: 25.7 Å³ per atom
- ΔE_f: -0.18 eV/atom

| no. | electronic total energy (eV per atom) |
| --- | --- |
| 1 | -4.73 |
| 2 | -3.40 |
| 3 | -4.04 |